# 1
This record from Alexandria via LeMat-Bulk describes a geometry-optimized TbSm2Ho4Th structure. The functional is GGA-PBE.

a = 5.068 Å, b = 5.050 Å, c = 11.188 Å
α = 63.21°, β = 90.00°, γ = 90.00°
Sites, in units of the cell vectors:
1 Ho 0.000 0.247 0.253
2 Ho 0.500 0.747 0.253
3 Ho 0.000 0.753 0.747
4 Ho 0.500 0.253 0.747
5 Sm 0.000 0.000 0.000
6 Sm 0.500 0.000 0.500
7 Th 0.000 0.500 0.500
8 Tb 0.500 0.500 0.000

Results
Total DFT energy (no corrections) ... -0.3634 Ry/atom
Size of the total moment ... 0.00 μB/cell
Symmetry ... No. 47
V ... 31.9 Å³ per atom
ΔE_f ... 0.030 eV per atom

=====

# 2
This record from Alexandria via LeMat-Bulk describes a geometry-optimized Tb2Sm6HoTh structure. The functional is GGA-PBE.

a = 9.752 Å, b = 8.798 Å, c = 8.798 Å
α = 116.66°, β = 94.34°, γ = 94.34°
Sites, in units of the cell vectors:
1 Sm 0.056 0.112 0.754
2 Sm 0.314 0.987 0.426
3 Sm 0.814 0.426 0.987
4 Sm 0.620 0.490 0.703
5 Sm 0.880 0.297 0.510
6 Sm 0.380 0.510 0.297
7 Sm 0.186 0.574 0.013
8 Sm 0.444 0.246 0.888
9 Sm 0.556 0.754 0.112
10 Sm 0.686 0.013 0.574
11 Sm 0.120 0.703 0.490
12 Sm 0.944 0.888 0.246
13 Tb 0.049 0.292 0.199
14 Tb 0.549 0.199 0.292
15 Tb 0.451 0.801 0.708
16 Tb 0.951 0.708 0.801
17 Th 0.250 0.974 0.026
18 Th 0.750 0.026 0.974
19 Ho 0.750 0.593 0.407
20 Ho 0.250 0.407 0.593

Results
Total DFT energy (no corrections) ... -0.3535 Ry/atom
Size of the total moment ... 0.00 μB/cell
Symmetry ... No. 15
V ... 33.4 Å³ per atom
ΔE_f ... 0.148 eV per atom

=====

- The highest V belongs to which entry?
  Tb2Sm6HoTh

=====

- What is the V in the first record?
  31.9 Å³ per atom

=====

- Look up the ΔE_f of the second one.
  0.148 eV per atom